i | Density functional theory data (PBE) for a geometry-optimized CuTe2Pt structure.

abc: 4.8975 4.8975 4.8975
angles: 60.00 60.00 60.00
Closest atoms and distances in Å follow each position.
Positions (direct):
Cu1 0.0000 0.0000 0.0000  4 Te 3.00, 4 Pt 3.00
Te1 0.5000 0.5000 0.5000  4 Te 3.00, 4 Pt 3.00
Te2 0.7500 0.7500 0.7500  4 Te 3.00, 4 Cu 3.00
Pt1 0.2500 0.2500 0.2500  4 Te 3.00, 4 Cu 3.00

***

ii | Density functional theory data (PBE) for a geometry-optimized CuTe2Pt structure.

abc: 8.0508 8.0508 8.0508
angles: 29.48 29.48 29.48
Closest atoms and distances in Å follow each position.
Positions (direct):
Cu1 0.0000 0.0000 0.0000  2 Te 2.47
Te1 0.1070 0.1070 0.1070  1 Cu 2.47, 3 Pt 2.74
Te2 0.8930 0.8930 0.8930  1 Cu 2.47, 3 Pt 2.74
Pt1 0.5000 0.5000 0.5000  6 Te 2.74

***

iii | Density functional theory data (PBE) for a geometry-optimized CuTe2Pt structure.

abc: 3.6776 3.6776 6.0563
angles: 90.00 90.00 90.00
Closest atoms and distances in Å follow each position.
Positions (direct):
Cu1 0.0000 0.0000 0.0000  8 Te 3.01, 2 Pt 3.03
Te1 0.5000 0.5000 0.2500  4 Pt 3.01, 4 Cu 3.01, 2 Te 3.03
Te2 0.5000 0.5000 0.7500  4 Pt 3.01, 4 Cu 3.01, 2 Te 3.03
Pt1 0.0000 0.0000 0.5000  8 Te 3.01, 2 Cu 3.03

***

Most favorable structure: ii. The second most favorable one is 334 meV/atom above it.

***

i | Density functional theory data (PBE) for a geometry-optimized CuTe2Pt structure.

abc: 4.0193 4.0193 6.8856
angles: 106.52 106.52 59.37
Closest atoms and distances in Å follow each position.
Positions (direct):
Cu1 0.0000 0.0000 0.0000  3 Te 2.58-2.59, 3 Pt 2.66-2.67
Te1 0.5309 0.5309 0.5975  3 Pt 2.65
Te2 0.7280 0.7280 0.1791  3 Cu 2.58-2.59
Pt1 0.2636 0.2636 0.7953  3 Te 2.65, 3 Cu 2.66-2.67

***

ii | Density functional theory data (PBE) for a geometry-optimized CuTe2Pt structure.

abc: 3.9701 3.9701 6.6952
angles: 106.92 106.92 60.45
Closest atoms and distances in Å follow each position.
Positions (direct):
Cu1 0.0000 0.0000 0.0000  6 Te 2.78-2.83
Te1 0.2432 0.2432 0.7417  3 Pt 2.75-2.77, 3 Cu 2.78-2.83
Te2 0.7568 0.7568 0.2583  3 Pt 2.75-2.77, 3 Cu 2.78-2.83
Pt1 0.5000 0.5000 0.5000  6 Te 2.75-2.77

***

iii | Density functional theory data (PBE) for a geometry-optimized CuTe2Pt structure.

abc: 5.3030 5.3030 5.3030
angles: 138.09 108.21 86.76
Closest atoms and distances in Å follow each position.
Positions (direct):
Cu1 0.0000 0.0000 0.0000  4 Te 2.72
Te1 0.2522 0.7522 0.5000  2 Pt 2.69, 2 Cu 2.72
Te2 0.7478 0.2478 0.5000  2 Pt 2.69, 2 Cu 2.72
Pt1 0.5000 0.5000 0.0000  4 Te 2.69

***

iv | Density functional theory data (PBE) for a geometry-optimized CuTe2Pt structure.

abc: 4.8577 4.8577 4.8577
angles: 60.00 60.00 60.00
Closest atoms and distances in Å follow each position.
Positions (direct):
Cu1 0.0000 0.0000 0.0000  8 Te 2.97
Te1 0.2500 0.2500 0.2500  4 Cu 2.97, 4 Pt 2.97
Te2 0.7500 0.7500 0.7500  4 Cu 2.97, 4 Pt 2.97
Pt1 0.5000 0.5000 0.5000  8 Te 2.97

***

Most favorable structure: i. The second most favorable one is 21 meV/atom above it.

***

i | Density functional theory data (PBE) for a geometry-optimized CuTe2Pt structure.

abc: 5.4355 5.4355 3.0412
angles: 90.27 90.27 89.31
Closest atoms and distances in Å follow each position.
Positions (direct):
Cu1 0.0000 0.0000 0.0000  4 Te 2.72, 2 Cu 3.04
Te1 0.0000 0.5000 0.0000  2 Cu 2.72, 2 Pt 2.72, 2 Te 3.04
Te2 0.5000 0.0000 0.0000  2 Cu 2.72, 2 Pt 2.72, 2 Te 3.04
Pt1 0.5000 0.5000 0.0000  4 Te 2.72, 2 Pt 3.04

***

ii | Density functional theory data (PBE) for a geometry-optimized CuTe2Pt structure.

abc: 3.8856 3.9005 5.6792
angles: 90.00 90.00 90.00
Closest atoms and distances in Å follow each position.
Positions (direct):
Cu1 0.0000 0.0000 0.0000  4 Te 2.75
Te1 0.5000 0.0000 0.5000  4 Pt 2.75
Te2 0.5000 0.5000 0.0000  4 Cu 2.75
Pt1 0.0000 0.5000 0.5000  4 Te 2.75

***

Most favorable structure: i. The second most favorable one is 213 meV/atom above it.

***

i | Density functional theory data (PBE) for a geometry-optimized CuTe2Pt structure.

abc: 7.3059 7.3059 7.3059
angles: 131.75 131.75 70.63
Closest atoms and distances in Å follow each position.
Positions (direct):
Cu1 0.0000 0.0000 0.0000  4 Te 2.57
Cu2 0.7500 0.2500 0.5000  4 Te 2.57
Te1 0.1194 0.6250 0.9944  2 Cu 2.57, 2 Pt 2.60
Te2 0.3750 0.3694 0.4944  2 Cu 2.57, 2 Pt 2.60
Te3 0.6306 0.1250 0.0056  2 Cu 2.57, 2 Pt 2.60
Te4 0.8750 0.8806 0.5056  2 Cu 2.57, 2 Pt 2.60
Pt1 0.2500 0.7500 0.5000  4 Te 2.60
Pt2 0.5000 0.5000 0.0000  4 Te 2.60

***

ii | Density functional theory data (PBE) for a geometry-optimized CuTe2Pt structure.

abc: 3.5337 3.5337 7.3745
angles: 90.00 90.00 90.00
Closest atoms and distances in Å follow each position.
Positions (direct):
Cu1 0.0000 0.0000 0.0000  5 Te 2.64-2.83, 4 Pt 2.88
Te1 0.0000 0.0000 0.3577  1 Cu 2.64, 4 Pt 2.78
Te2 0.5000 0.5000 0.8209  1 Pt 2.75, 4 Cu 2.83
Pt1 0.5000 0.5000 0.1936  5 Te 2.75-2.78, 4 Cu 2.88

***

Most favorable structure: i. The second most favorable one is 56 meV/atom above it.

***

i | Density functional theory data (PBE) for a geometry-optimized CuTe4Pt structure.

abc: 6.1461 6.1461 6.1461
angles: 60.00 60.00 60.00
Closest atoms and distances in Å follow each position.
Positions (direct):
Cu1 0.0000 0.0000 0.0000  12 Te 3.61, 4 Pt 3.76
Te1 0.3756 0.3756 0.3756  6 Te 3.06-3.09
Te2 0.3756 0.3756 0.8732  6 Te 3.06-3.09
Te3 0.3756 0.8732 0.3756  6 Te 3.06-3.09
Te4 0.8732 0.3756 0.3756  6 Te 3.06-3.09
Pt1 0.7500 0.7500 0.7500  12 Te 3.60, 4 Cu 3.76

***

ii | Density functional theory data (PBE) for a geometry-optimized CuTe4Pt structure.

abc: 7.5088 7.5088 7.5088
angles: 107.77 107.77 112.94
Closest atoms and distances in Å follow each position.
Positions (direct):
Cu1 0.0000 0.0000 0.0000  6 Te 2.61-2.73
Cu2 0.7500 0.2500 0.5000  6 Te 2.61-2.73
Te1 0.1893 0.5005 0.6888  1 Cu 2.67, 2 Pt 2.73-2.76
Te2 0.2505 0.0617 0.8112  1 Cu 2.67, 2 Pt 2.73-2.76
Te3 0.2505 0.4393 0.1888  1 Cu 2.67, 2 Pt 2.73-2.76
Te4 0.3187 0.0102 0.3084  2 Cu 2.61-2.73, 1 Pt 2.68
Te5 0.7018 0.0102 0.6916  2 Cu 2.61-2.73, 1 Pt 2.68
Te6 0.7602 0.5687 0.8084  2 Cu 2.61-2.73, 1 Pt 2.68
Te7 0.7602 0.9518 0.1916  2 Cu 2.61-2.73, 1 Pt 2.68
Te8 0.8117 0.5005 0.3112  1 Cu 2.67, 2 Pt 2.73-2.76
Pt1 0.2604 0.7604 0.5000  6 Te 2.68-2.76
Pt2 0.5104 0.5104 0.0000  6 Te 2.68-2.76

***

iii | Density functional theory data (PBE) for a geometry-optimized CuTe4Pt structure.

abc: 6.7337 4.1246 6.7736
angles: 90.00 118.89 90.00
Closest atoms and distances in Å follow each position.
Positions (direct):
Cu1 0.0000 0.0000 0.0000  6 Te 2.62-2.77
Te1 0.0433 0.5000 0.2915  1 Pt 2.69, 2 Cu 2.77
Te2 0.4445 0.0000 0.2170  1 Cu 2.62, 2 Pt 2.72
Te3 0.5555 0.0000 0.7830  1 Cu 2.62, 2 Pt 2.72
Te4 0.9567 0.5000 0.7085  1 Pt 2.69, 2 Cu 2.77
Pt1 0.5000 0.5000 0.5000  6 Te 2.69-2.72

***

Most favorable structure: iii. The second most favorable one is 156 meV/atom above it.

***

i | Density functional theory data (PBE) for a geometry-optimized ThCu2Pt4 structure.

abc: 5.4562 5.4562 5.2307
angles: 118.50 118.50 77.25
Closest atoms and distances in Å follow each position.
Positions (direct):
Th1 0.0000 0.0000 0.0000  4 Pt 2.86
Cu1 0.4992 0.4992 0.2496  2 Cu 2.61-2.62, 8 Pt 2.76-2.78
Cu2 0.5008 0.5008 0.7504  2 Cu 2.61-2.62, 8 Pt 2.76-2.78
Pt1 0.0010 0.4029 0.7017  4 Pt 2.73-2.78, 4 Cu 2.76-2.78, 1 Th 2.86
Pt2 0.4029 0.0010 0.7017  4 Pt 2.73-2.78, 4 Cu 2.76-2.78, 1 Th 2.86
Pt3 0.5971 0.9990 0.2983  4 Pt 2.73-2.78, 4 Cu 2.76-2.78, 1 Th 2.86
Pt4 0.9990 0.5971 0.2983  4 Pt 2.73-2.78, 4 Cu 2.76-2.78, 1 Th 2.86

***

ii | Density functional theory data (PBE) for a geometry-optimized ThCu2Pt4 structure.

abc: 6.1847 6.1847 6.1847
angles: 98.54 98.54 134.67
Closest atoms and distances in Å follow each position.
Positions (direct):
Th1 0.0000 0.0000 0.0000  8 Pt 3.02
Cu1 0.2500 0.7500 0.5000  2 Cu 2.38, 4 Pt 2.48
Cu2 0.7500 0.2500 0.5000  2 Cu 2.38, 4 Pt 2.48
Pt1 0.2701 0.5000 0.7701  2 Cu 2.48, 2 Pt 2.62
Pt2 0.5000 0.2701 0.7701  2 Cu 2.48, 2 Pt 2.62
Pt3 0.5000 0.7299 0.2299  2 Cu 2.48, 2 Pt 2.62
Pt4 0.7299 0.5000 0.2299  2 Cu 2.48, 2 Pt 2.62

***

Most favorable structure: i. The second most favorable one is 613 meV/atom above it.